This record from Alexandria describes a geometry-optimized GaCu2NiS structure. The functional is GGA-PBE.

POSCAR file:
```
GaCu2NiS
1.0
-2.2398 -1.3190 -3.8208
0.9886 -3.8532 0.7506
-3.8814 -0.5178 2.4540
Cu Ni S Ga
2 1 1 1
Direct
0.0000 0.0000 0.5000
0.5000 0.0000 0.0000
0.0000 0.0000 0.0000
0.0000 0.5000 0.0000
0.5000 0.5000 0.5000
```

The space group is No. 123. As for the total energy: -19.48 eV/cell. Its size of the total moment is 0.00 μB/f.u. The density comes out at 5.52 g/cm3. Its density of states at the Fermi level is 0.3467 states/eV/atom.

***

This record from Alexandria describes a geometry-optimized Sc2GaCu2Ni5 structure. The functional is GGA-PBE.

POSCAR file:
```
Sc2GaCu2Ni5
1.0
-1.9454 2.8834 -1.0229
-1.7049 -3.8289 -7.5509
-7.0855 -3.5706 3.4104
Ni Ga Cu Sc
10 2 4 4
Direct
0.5000 0.7978 0.9336
0.5000 0.0000 0.5000
0.5000 0.5664 0.7022
0.5000 0.2978 0.5664
0.5000 0.5000 0.0000
0.5000 0.0664 0.7978
0.5000 0.4336 0.2978
0.5000 0.7022 0.4336
0.5000 0.9336 0.2022
0.5000 0.2022 0.0664
0.0000 0.5000 0.5000
0.0000 0.0000 0.0000
0.0000 0.3787 0.1213
0.0000 0.1213 0.6213
0.0000 0.8787 0.3787
0.0000 0.6213 0.8787
0.0000 0.8242 0.6758
0.0000 0.6758 0.1758
0.0000 0.1758 0.3242
0.0000 0.3242 0.8242
```

The space group is No. 127. Its size of the total moment is 0.00 μB/f.u. The density comes out at 7.13 g/cm3. Its density of states at the Fermi level is 0.3446 states/eV/atom. The formation energy comes out at -32 kJ per mole of atoms.